(1)
Compound: NaEuSb
Source: the Alexandria database
Functional: PBE
Structure: relaxed

Output
As for the total energy: -5.81 eV/atom. The space-group type is P3m1 (156). For the formation energy from raw total energies, the calculation gives -1.72 eV/f.u. The volume comes out at 31.90 Å³ per atom.

Unit cell a=4.360 b=5.034 c=5.034 alpha=120.00 beta=90.00 gamma=90.00
Element x y z (fractional)
Eu 0.357 0.333 0.667
Sb 0.753 0.667 0.333
Na 0.890 0.000 0.000

(2)
Compound: SbMoCl2
Source: the Alexandria database
Functional: PBE
Structure: relaxed

Output
As for the total energy: -4.91 eV/atom. The space-group type is P2/m (10). For the formation energy from raw total energies, the calculation gives -1.00 eV/f.u. As for the polymorph energy (0 for the lowest one): 0.053 eV per atom. The volume comes out at 28.26 Å³ per atom.

Unit cell a=3.137 b=7.111 c=7.106 alpha=45.48 beta=90.00 gamma=90.00
Element x y z (fractional)
Sb 0.500 0.750 0.750
Mo 0.500 0.250 0.250
Cl 0.000 0.107 0.107
Cl 0.000 0.393 0.393

(3)
Compound: Li2TiGa6
Source: the Alexandria database
Functional: PBE
Structure: relaxed

Output
As for the total energy: -3.57 eV/atom. The space-group type is P6/mmm (191). The volume comes out at 16.57 Å³ per atom.

Unit cell a=3.066 b=7.493 c=7.493 alpha=60.00 beta=89.99 gamma=89.99
Element x y z (fractional)
Li 0.000 0.333 0.333
Li 0.000 0.667 0.667
Ti 0.000 0.000 0.000
Ga 0.499 0.667 0.000
Ga 0.501 0.000 0.333
Ga 0.501 0.333 0.000
Ga 0.500 0.667 0.333
Ga 0.499 0.000 0.667
Ga 0.500 0.333 0.667

(4)
Compound: YCd2Au
Source: the Alexandria database
Functional: PBE
Structure: relaxed

Output
As for the total energy: -3.30 eV/atom. The space-group type is P4/mmm (123). The volume comes out at 22.96 Å³ per atom.

Unit cell a=4.324 b=4.322 c=4.915 alpha=90.00 beta=90.00 gamma=90.00
Element x y z (fractional)
Y 0.500 0.000 0.500
Au 0.000 0.500 0.500
Cd 0.000 0.000 0.000
Cd 0.500 0.500 0.000

(5)
Compound: BaHfN3
Source: the Alexandria database
Functional: PBE
Structure: relaxed

Output
As for the total energy: -7.81 eV/atom. The space-group type is Pm-3m (221). For the formation energy from raw total energies, the calculation gives -2.19 eV/f.u. The volume comes out at 15.96 Å³ per atom.

Unit cell a=4.305 b=4.305 c=4.305 alpha=90.00 beta=90.00 gamma=90.00
Element x y z (fractional)
Hf 0.000 0.000 0.000
Ba 0.500 0.500 0.500
N 0.000 0.500 0.000
N 0.000 0.000 0.500
N 0.500 0.000 0.000

(6)
Compound: TbHgRh
Source: the Alexandria database
Functional: PBE
Structure: relaxed

Output
As for the total energy: -4.58 eV/atom. The space-group type is F-43m (216). The volume comes out at 23.92 Å³ per atom.

Unit cell a=4.665 b=4.665 c=4.665 alpha=60.00 beta=60.00 gamma=60.00
Element x y z (fractional)
Rh 0.250 0.250 0.250
Tb 0.500 0.500 0.500
Hg 0.000 0.000 0.000

(7)
Compound: Tb3PmDy3Se8
Source: the Alexandria database
Functional: PBE
Structure: relaxed

Output
As for the total energy: -5.86 eV/atom. The space-group type is R-3m (166). For the formation energy from raw total energies, the calculation gives -27.58 eV/f.u. The volume comes out at 25.58 Å³ per atom.

Unit cell a=8.155 b=8.156 c=8.156 alpha=120.00 beta=90.00 gamma=120.00
Element x y z (fractional)
Tb 0.000 0.000 0.000
Tb 0.000 0.500 0.000
Tb 0.500 0.500 0.000
Pm 0.000 0.000 0.500
Dy 0.500 0.000 0.500
Dy 0.500 0.500 0.500
Dy 0.000 0.500 0.500
Se 0.251 0.501 0.252
Se 0.749 0.499 0.748
Se 0.742 0.484 0.243
Se 0.258 0.516 0.757
Se 0.742 0.001 0.243
Se 0.258 0.999 0.757
Se 0.259 0.001 0.243
Se 0.741 0.999 0.757

(8)
Compound: SrTe2Br
Source: the Alexandria database
Functional: PBE
Structure: relaxed

Output
As for the total energy: -2.68 eV/atom. The space-group type is R-3m (166). For the formation energy from raw total energies, the calculation gives -1.08 eV/f.u. As for the polymorph energy (0 for the lowest one): 0.914 eV per atom. The volume comes out at 34.38 Å³ per atom.

Unit cell a=9.894 b=9.894 c=9.894 alpha=23.71 beta=23.71 gamma=23.71
Element x y z (fractional)
Sr 0.750 0.750 0.750
Te 0.001 0.001 0.001
Te 0.499 0.499 0.499
Br 0.250 0.250 0.250

(9)
Compound: RbGaF3
Source: the Alexandria database
Functional: PBE
Structure: relaxed

Output
As for the total energy: -4.40 eV/atom. The space-group type is C2/m (12). For the formation energy from raw total energies, the calculation gives -12.37 eV/f.u. The volume comes out at 17.00 Å³ per atom.

Unit cell a=14.441 b=7.561 c=7.561 alpha=154.53 beta=148.91 gamma=31.09
Element x y z (fractional)
Ga 0.655 0.909 0.091
Ga 0.345 0.091 0.909
Rb 0.801 0.027 0.973
Rb 0.199 0.973 0.027
F 0.773 0.238 0.762
F 0.227 0.762 0.238
F 0.110 0.233 0.767
F 0.890 0.767 0.233
F 0.586 0.562 0.438
F 0.414 0.438 0.562

(10)
Compound: Sc4ZnGa2Os
Source: the Alexandria database
Functional: PBE
Structure: relaxed

Output
As for the total energy: -6.04 eV/atom. The space-group type is R-3m (166). The volume comes out at 18.13 Å³ per atom.

Unit cell a=4.683 b=4.683 c=8.100 alpha=73.20 beta=73.20 gamma=60.00
Element x y z (fractional)
Sc 0.379 0.379 0.864
Sc 0.872 0.872 0.383
Sc 0.128 0.128 0.617
Sc 0.621 0.621 0.136
Zn 0.000 0.000 0.000
Ga 0.748 0.748 0.755
Ga 0.252 0.252 0.245
Os 0.500 0.500 0.500

Copy entry 1 word for word.
Compound: NaEuSb
Source: the Alexandria database
Functional: PBE
Structure: relaxed

Output
As for the total energy: -5.81 eV/atom. The space-group type is P3m1 (156). For the formation energy from raw total energies, the calculation gives -1.72 eV/f.u. The volume comes out at 31.90 Å³ per atom.

Unit cell a=4.360 b=5.034 c=5.034 alpha=120.00 beta=90.00 gamma=90.00
Element x y z (fractional)
Eu 0.357 0.333 0.667
Sb 0.753 0.667 0.333
Na 0.890 0.000 0.000